VASP calculation (GGA-PBE) on a geometry-optimized Ca2ZnReO6 structure.

Cell lengths 5.050, 5.260, 5.260 Å; angles 90.00, 90.00, 90.00 degrees
Fractional positions:
O: 0.722 0.238 0.762
O: 0.178 0.500 0.500
O: 0.231 0.000 0.000
O: 0.722 0.762 0.238
O: 0.722 0.762 0.762
O: 0.722 0.238 0.238
Zn: 0.553 0.500 0.500
Ca: 0.005 0.000 0.500
Ca: 0.005 0.500 0.000
Re: 0.585 0.000 0.000

Results
Electronic total energy = -67.6 eV per cell

=====

VASP calculation (GGA-PBE) on a geometry-optimized Ga2BiI structure.

Cell lengths 4.528, 4.528, 8.732 Å; angles 74.97, 74.97, 60.00 degrees
Fractional positions:
Ga: 0.080 0.080 0.761
Ga: 0.286 0.286 0.141
Bi: 0.654 0.654 0.039
I: 0.480 0.480 0.560

Results
Relative energy among the computed polymorphs = 0.0000 eV per atom

=====

VASP calculation (GGA-PBE) on a geometry-optimized Cs3Sc3VSe8 structure.

Cell lengths 7.835, 7.836, 9.634 Å; angles 114.01, 90.00, 120.00 degrees
Fractional positions:
Se: 0.261 0.045 0.329
Se: 0.274 0.548 0.322
Se: 0.726 0.452 0.678
Se: 0.784 0.045 0.329
Se: 0.216 0.955 0.671
Se: 0.216 0.433 0.671
Se: 0.739 0.955 0.671
Se: 0.784 0.567 0.329
Sc: 0.000 0.500 0.500
Sc: 0.500 0.500 0.500
Sc: 0.500 0.000 0.500
Cs: 0.500 0.500 0.000
Cs: 0.000 0.000 0.000
Cs: 0.000 0.500 0.000
V: 0.000 0.000 0.500

Results
Electronic total energy = -79.0 eV per cell

=====

VASP calculation (GGA-PBE) on a geometry-optimized LaCrIn2Ni structure.

Cell lengths 5.941, 4.630, 5.941 Å; angles 90.00, 90.00, 90.00 degrees
Fractional positions:
Ni: 0.000 0.500 0.000
In: 0.500 0.000 0.000
In: 0.000 0.000 0.500
La: 0.000 0.000 0.000
Cr: 0.500 0.500 0.500

Results
Energy relative to the elements = 1.736 eV/atom

=====

VASP calculation (GGA-PBE) on a geometry-optimized Zr2SiPb structure.

Cell lengths 3.265, 3.265, 8.223 Å; angles 90.00, 90.00, 102.71 degrees
Fractional positions:
Zr: 0.000 0.000 0.535
Zr: 0.000 0.000 0.965
Pb: 0.500 0.500 0.250
Si: 0.500 0.500 0.750

Results
Relative energy among the computed polymorphs = 0.0667 eV per atom

=====

VASP calculation (GGA-PBE) on a geometry-optimized Sr5Tc4 structure.

Cell lengths 7.704, 7.704, 7.704 Å; angles 96.01, 96.01, 142.24 degrees
Fractional positions:
Sr: 0.322 0.322 0.644
Sr: 0.678 0.322 0.000
Sr: 0.678 0.678 0.356
Sr: 0.322 0.678 0.000
Sr: 0.000 0.000 0.000
Tc: 0.000 0.393 0.393
Tc: 0.607 0.000 0.607
Tc: 0.393 0.000 0.393
Tc: 0.000 0.607 0.607

Results
Relative energy among the computed polymorphs = 0.0000 eV per atom
Energy relative to the elements = 0.801 eV/atom

=====

VASP calculation (GGA-PBE) on a geometry-optimized LaYP structure.

Cell lengths 4.856, 4.856, 4.856 Å; angles 60.00, 60.00, 60.00 degrees
Fractional positions:
P: 0.250 0.250 0.250
La: 0.500 0.500 0.500
Y: 0.000 0.000 0.000

Results
Relative energy among the computed polymorphs = 0.1391 eV per atom
Energy relative to the elements = -0.858 eV/atom

=====

VASP calculation (GGA-PBE) on a geometry-optimized YBeIn structure.

Cell lengths 6.403, 4.414, 9.177 Å; angles 90.00, 90.00, 90.00 degrees
Fractional positions:
Y: 0.148 0.750 0.904
Y: 0.352 0.250 0.404
Y: 0.852 0.250 0.096
Y: 0.648 0.750 0.596
Be: 0.051 0.750 0.279
Be: 0.449 0.250 0.779
Be: 0.949 0.250 0.721
Be: 0.551 0.750 0.221
In: 0.364 0.250 0.081
In: 0.636 0.750 0.919
In: 0.864 0.250 0.419
In: 0.136 0.750 0.581

Results
Relative energy among the computed polymorphs = 0.3324 eV per atom
Energy relative to the elements = 0.065 eV/atom

=====

VASP calculation (GGA-PBE) on a geometry-optimized Ho4TlN structure.

Cell lengths 5.652, 7.082, 8.287 Å; angles 106.17, 109.91, 90.02 degrees
Fractional positions:
Ho: 0.416 0.077 0.770
Ho: 0.207 0.701 0.385
Ho: 0.822 0.799 0.615
Ho: 0.646 0.423 0.230
Ho: 0.793 0.299 0.615
Ho: 0.178 0.201 0.385
Ho: 0.584 0.923 0.230
Ho: 0.354 0.577 0.770
Tl: 0.969 0.750 0.000
Tl: 0.031 0.250 0.000
N: 0.500 0.000 0.500
N: 0.000 0.500 0.500

Results
Electronic total energy = -65.6 eV per cell

=====

VASP calculation (GGA-PBE) on a geometry-optimized HgPbIO2 structure.

Cell lengths 4.305, 4.305, 6.438 Å; angles 90.00, 90.00, 90.00 degrees
Fractional positions:
O: 0.500 0.000 0.000
O: 0.000 0.500 0.000
Pb: 0.000 0.000 0.000
Hg: 0.500 0.500 0.500
I: 0.000 0.000 0.500

Results
Relative energy among the computed polymorphs = 0.0000 eV per atom

=====

VASP calculation (GGA-PBE) on a geometry-optimized K2Ga3Pt2 structure.

Cell lengths 4.184, 7.166, 6.532 Å; angles 71.27, 108.65, 107.06 degrees
Fractional positions:
Ga: 0.830 0.564 0.098
Ga: 0.170 0.436 0.902
Ga: 0.000 0.000 0.000
K: 0.643 0.768 0.515
K: 0.357 0.232 0.485
Pt: 0.384 0.790 0.981
Pt: 0.616 0.210 0.019

Results
Energy relative to the elements = -0.473 eV/atom

=====

VASP calculation (GGA-PBE) on a geometry-optimized KCdOs2 structure.

Cell lengths 5.828, 5.828, 2.599 Å; angles 90.00, 90.00, 121.29 degrees
Fractional positions:
K: 0.000 0.500 0.500
Os: 0.000 0.000 0.000
Os: 0.500 0.500 0.000
Cd: 0.500 0.000 0.500

Results
Energy relative to the elements = 1.313 eV/atom